{
  "formula": "AgTe3AsPb",
  "functional": "PBE",
  "state": "relaxed",
  "cell": [[8.749, 0.000, 0.000], [0.000, 4.274, 0.000], [-1.990, 0.000, 9.536]],
  "species": ["Ag", "Ag", "Te", "Te", "Te", "Te", "Te", "Te", "As", "As", "Pb", "Pb"],
  "frac_coords": [[0.066, 0.250, 0.095], [0.934, 0.750, 0.905], [0.111, 0.250, 0.390], [0.270, 0.750, 0.028], [0.439, 0.750, 0.658], [0.561, 0.250, 0.342], [0.730, 0.250, 0.972], [0.889, 0.750, 0.610], [0.325, 0.750, 0.379], [0.675, 0.250, 0.621], [0.198, 0.250, 0.779], [0.802, 0.750, 0.221]],
  "volume_a3_per_cell": 356.59,
  "raw_formation_energy_ev_per_atom": -0.12,
  "space_group": "No. 11"
}